The following is a PBE-GGA calculation of a geometry-optimized Ac4Te5S structure, from Alexandria.

The structure in POSCAR format:
```
Ac4Te5S
1.0
4.632 0.000 0.000
0.000 8.675 -1.406
-2.316 -2.725 10.706
Ac Te S
4 5 1
direct
0.286 0.786 0.572
0.000 0.766 0.000
0.714 0.214 0.428
0.000 0.234 0.000
0.837 0.592 0.675
0.838 0.084 0.675
0.162 0.916 0.325
0.500 0.500 0.000
0.163 0.408 0.325
0.500 0.000 0.000
```

Values from the calculation:
The total DFT energy (no corrections) is -5.21 eV per atom. The space-group type is C2/m, No. 12.



The following is a PBE-GGA calculation of a geometry-optimized Ac2TeS6 structure, from Alexandria.

The structure in POSCAR format:
```
Ac2TeS6
1.0
6.713 1.658 0.959
1.918 6.468 -0.117
1.918 3.121 5.667
Ac Te S
2 1 6
direct
0.757 0.751 0.751
0.243 0.249 0.249
0.000 0.000 0.000
0.202 0.302 0.787
0.328 0.748 0.748
0.202 0.787 0.302
0.798 0.698 0.213
0.672 0.252 0.252
0.798 0.213 0.698
```

Values from the calculation:
The total DFT energy (no corrections) is -5.07 eV per atom. The space-group type is C2/m, No. 12.



The following is a PBE-GGA calculation of a geometry-optimized Ac4Te3S structure, from Alexandria.

The structure in POSCAR format:
```
Ac4Te3S
1.0
4.586 0.000 0.000
0.000 7.641 -2.584
0.000 -0.043 8.066
Ac Te S
4 3 1
direct
0.000 0.222 0.222
0.500 0.767 0.233
0.000 0.778 0.778
0.500 0.233 0.767
0.000 0.000 0.500
0.500 0.500 0.500
0.000 0.500 0.000
0.500 0.000 0.000
```

Values from the calculation:
The energy above the most stable polymorph in this dataset is 12 meV per atom. The space-group type is Cmmm, No. 65.



Please write out number 2 again, unchanged.
The following is a PBE-GGA calculation of a geometry-optimized Ac2TeS6 structure, from Alexandria.

The structure in POSCAR format:
```
Ac2TeS6
1.0
6.713 1.658 0.959
1.918 6.468 -0.117
1.918 3.121 5.667
Ac Te S
2 1 6
direct
0.757 0.751 0.751
0.243 0.249 0.249
0.000 0.000 0.000
0.202 0.302 0.787
0.328 0.748 0.748
0.202 0.787 0.302
0.798 0.698 0.213
0.672 0.252 0.252
0.798 0.213 0.698
```

Values from the calculation:
The total DFT energy (no corrections) is -5.07 eV per atom. The space-group type is C2/m, No. 12.